[1]
CdBiSb | PBE | relaxed

The structure in POSCAR format:
```
CdBiSb
1.0
5.5378 0.0000 0.0000
-2.7689 4.7959 0.0000
0.0000 0.0000 3.2618
Cd Bi Sb
1 1 1
Cartesian
0.0000 0.0000 0.0000 Cd
0.0000 3.1973 1.6374 Bi
2.7689 1.5986 1.6571 Sb
```

Output
As for the density of states at the Fermi level: 0.53 states/eV per atom. The formation energy (no corrections) comes out at 0.122 eV/atom. As for the space-group type: P3m1, No. 156.

***

[2]
AcTbRuAu | PBE | relaxed

The structure in POSCAR format:
```
AcTbRuAu
1.0
7.3203 0.0000 0.0000
0.0000 7.3203 0.0000
0.0000 0.0000 7.3203
Ac Tb Ru Au
4 4 4 4
Cartesian
0.0000 0.0000 0.0000 Ac
0.0000 3.6602 3.6602 Ac
3.6602 0.0000 3.6602 Ac
3.6602 3.6602 0.0000 Ac
0.0000 0.0000 3.6602 Tb
0.0000 3.6602 0.0000 Tb
3.6602 0.0000 0.0000 Tb
3.6602 3.6602 3.6602 Tb
1.8301 1.8301 5.4902 Ru
1.8301 5.4902 1.8301 Ru
5.4902 1.8301 1.8301 Ru
5.4902 5.4902 5.4902 Ru
1.8301 1.8301 1.8301 Au
1.8301 5.4902 5.4902 Au
5.4902 1.8301 5.4902 Au
5.4902 5.4902 1.8301 Au
```

Output
As for the density of states at the Fermi level: 0.59 states/eV per atom. The formation energy comes out at -1.6 eV/f.u. As for the space-group type: F-43m, No. 216.

***

[3]
Y2ScPd | PBE | relaxed

The structure in POSCAR format:
```
Y2ScPd
1.0
5.1152 0.0000 0.0000
0.0000 5.1152 0.0000
0.0000 0.0000 3.7160
Y Sc Pd
2 1 1
Cartesian
0.0000 2.5576 0.0000 Y
2.5576 0.0000 0.0000 Y
0.0000 0.0000 1.8580 Sc
2.5576 2.5576 1.8580 Pd
```

Output
As for the density of states at the Fermi level: 0.96 states/eV per atom. The formation energy comes out at -1.2 eV/f.u. As for the space-group type: P4/mmm, No. 123.

***

[4]
YP3H | PBE | relaxed

The structure in POSCAR format:
```
YP3H
1.0
5.3144 0.0000 0.0000
0.0000 5.3144 0.0000
0.0000 0.0000 5.3144
Y P H
1 3 1
Cartesian
0.0000 0.0000 0.0000 Y
0.0000 0.0000 2.6572 P
0.0000 2.6572 0.0000 P
2.6572 0.0000 0.0000 P
2.6572 2.6572 2.6572 H
```

Output
As for the density of states at the Fermi level: 0.68 states/eV per atom. As for the final energy: -4.0540 eV/atom. As for the space-group type: Pm-3m, No. 221.

***

[5]
Nd5Dy2HoEr | PBE | relaxed

The structure in POSCAR format:
```
Nd5Dy2HoEr
1.0
2.8216 -10.2055 0.0000
2.8216 10.2055 0.0000
0.0000 0.0000 10.7009
Nd Dy Ho Er
10 4 2 2
Cartesian
2.8216 9.8705 5.3505 Nd
2.8216 7.8395 8.3131 Nd
2.8216 6.0682 4.9553 Nd
2.8216 5.7024 0.7343 Nd
2.8216 0.3229 8.2670 Nd
2.8216 -0.3229 2.9166 Nd
2.8216 -5.7024 6.0847 Nd
2.8216 -6.0682 10.3058 Nd
2.8216 -7.8395 2.9626 Nd
2.8216 -9.8705 0.0000 Nd
2.8216 2.3339 0.6943 Dy
2.8216 2.2966 5.2930 Dy
2.8216 -2.2966 10.6435 Dy
2.8216 -2.3339 6.0448 Dy
2.8216 4.0514 8.2042 Ho
2.8216 -4.0514 2.8538 Ho
2.8216 8.3146 2.3524 Er
2.8216 -8.3146 7.7029 Er
```

Output
As for the density of states at the Fermi level: 1.58 states/eV per atom. The formation energy comes out at 1.3 eV/f.u. As for the space-group type: Cmc2_1, No. 36.

***

[6]
Ca2RuW | PBE | relaxed

The structure in POSCAR format:
```
Ca2RuW
1.0
6.8264 0.0000 0.0000
0.0000 6.8264 0.0000
0.0000 0.0000 6.8264
Ca Ru W
8 4 4
Cartesian
0.0000 0.0000 0.0000 Ca
0.0000 3.4132 3.4132 Ca
1.7066 1.7066 1.7066 Ca
1.7066 5.1198 5.1198 Ca
3.4132 0.0000 3.4132 Ca
3.4132 3.4132 0.0000 Ca
5.1198 1.7066 5.1198 Ca
5.1198 5.1198 1.7066 Ca
0.0000 0.0000 3.4132 Ru
0.0000 3.4132 0.0000 Ru
3.4132 0.0000 0.0000 Ru
3.4132 3.4132 3.4132 Ru
1.7066 1.7066 5.1198 W
1.7066 5.1198 1.7066 W
5.1198 1.7066 1.7066 W
5.1198 5.1198 5.1198 W
```

Output
As for the density of states at the Fermi level: 0.83 states/eV per atom. The formation energy comes out at 2.9 eV/f.u. As for the space-group type: F-43m, No. 216.